[1]
The following is a DFT calculation (PBE) of a geometry-optimized NaCd3Si structure.

Calculated values
The formation energy (no corrections) is 4.60 eV per formula unit. The space group is Pm-3m. The calculation puts the energy above the most stable polymorph in this dataset at 648 meV per atom.

Unit cell a=5.2731 b=5.2731 c=5.2731 alpha=90.00 beta=90.00 gamma=90.00
Closest atoms and distances in Å follow each position.
Fractional positions:
Na1 0.0000 0.0000 0.0000  6 Cd 2.64
Cd1 0.0000 0.0000 0.5000  2 Na 2.64
Cd2 0.0000 0.5000 0.0000  2 Na 2.64
Cd3 0.5000 0.0000 0.0000  2 Na 2.64
Si1 0.5000 0.5000 0.5000  12 Cd 3.73

***

[2]
The following is a DFT calculation (PBE) of a geometry-optimized Mg2ZnW structure.

Calculated values
The formation energy is 1.9 eV/f.u. The space group is I4/mmm.

Unit cell a=5.2078 b=5.2078 c=5.2078 alpha=135.66 beta=135.66 gamma=64.51
Closest atoms and distances in Å follow each position.
Fractional positions:
Mg1 0.2500 0.7500 0.5000  4 Mg 2.78, 4 W 2.95, 4 Zn 2.95
Mg2 0.7500 0.2500 0.5000  4 Mg 2.78, 4 W 2.95, 4 Zn 2.95
Zn1 0.0000 0.0000 0.0000  4 W 2.78, 8 Mg 2.95
W1 0.5000 0.5000 0.0000  4 Zn 2.78, 8 Mg 2.95

***

[3]
The following is a DFT calculation (PBE) of a geometry-optimized PRhPb2 structure.

Calculated values
The formation energy is 1.2 eV/f.u. The space group is P2/m.

Unit cell a=3.6121 b=3.6119 c=6.5183 alpha=90.00 beta=90.28 gamma=90.00
Closest atoms and distances in Å follow each position.
Fractional positions:
P1 0.0000 0.0000 0.0000  8 Pb 3.04-3.05, 2 Rh 3.26
Rh1 0.0000 0.0000 0.5000  8 Pb 3.01, 2 P 3.26
Pb1 0.4984 0.5000 0.2546  4 Rh 3.01, 4 P 3.04-3.05, 2 Pb 3.20-3.32
Pb2 0.5016 0.5000 0.7454  4 Rh 3.01, 4 P 3.04-3.05, 2 Pb 3.20-3.32

***

[4]
The following is a DFT calculation (PBE) of a geometry-optimized Zn2IrSe structure.

Calculated values
The formation energy (no corrections) is 0.61 eV per formula unit. The space group is I-4m2.

Unit cell a=4.8533 b=4.8533 c=4.8533 alpha=131.51 beta=131.51 gamma=71.01
Closest atoms and distances in Å follow each position.
Fractional positions:
Zn1 0.0000 0.0000 0.0000  4 Ir 2.81, 4 Zn 2.81, 4 Se 2.82
Zn2 0.7500 0.2500 0.5000  4 Se 2.81, 4 Zn 2.81, 4 Ir 2.82
Ir1 0.2500 0.7500 0.5000  4 Se 2.81, 8 Zn 2.81-2.82
Se1 0.5000 0.5000 0.0000  4 Ir 2.81, 8 Zn 2.81-2.82

***

[5]
The following is a DFT calculation (PBE) of a geometry-optimized Ca2ScPd3 structure.

Calculated values
The formation energy is -4.6 eV/f.u. The space group is P4/mmm.

Unit cell a=3.4107 b=3.4107 c=10.6744 alpha=90.00 beta=90.00 gamma=90.00
Closest atoms and distances in Å follow each position.
Fractional positions:
Ca1 0.0000 0.0000 0.1709  8 Pd 3.02-3.14
Ca2 0.0000 0.0000 0.8291  8 Pd 3.02-3.14
Sc1 0.0000 0.0000 0.5000  8 Pd 2.84
Pd1 0.5000 0.5000 0.0000  8 Ca 3.02
Pd2 0.5000 0.5000 0.3594  4 Sc 2.84, 1 Pd 3.00, 4 Ca 3.14
Pd3 0.5000 0.5000 0.6406  4 Sc 2.84, 1 Pd 3.00, 4 Ca 3.14

***

[6]
The following is a DFT calculation (PBE) of a geometry-optimized KRb2ZrCl6 structure.

Calculated values
The formation energy (no corrections) is -18.41 eV per formula unit. The space group is R-3m.

Unit cell a=15.4771 b=15.4771 c=15.4771 alpha=28.04 beta=28.04 gamma=28.04
Closest atoms and distances in Å follow each position.
Fractional positions:
K1 0.0852 0.0852 0.0852  6 Cl 3.10-3.13
K2 0.9148 0.9148 0.9148  6 Cl 3.10-3.13
Rb1 0.1908 0.1908 0.1908  9 Cl 3.40-3.77
Rb2 0.3572 0.3572 0.3572  9 Cl 3.38-3.77
Rb3 0.6428 0.6428 0.6428  9 Cl 3.38-3.77
Rb4 0.8092 0.8092 0.8092  9 Cl 3.40-3.77
Zr1 0.0000 0.0000 0.0000  6 Cl 2.57
Zr2 0.5000 0.5000 0.5000  6 Cl 2.57
Cl1 0.1290 0.1290 0.6426  1 Zr 2.57
Cl2 0.1290 0.6426 0.1290  1 Zr 2.57
Cl3 0.2113 0.6944 0.6944  1 Zr 2.57
Cl4 0.3056 0.3056 0.7887  1 Zr 2.57
Cl5 0.3056 0.7887 0.3056  1 Zr 2.57
Cl6 0.3574 0.8710 0.8710  1 Zr 2.57
Cl7 0.6426 0.1290 0.1290  1 Zr 2.57
Cl8 0.6944 0.2113 0.6944  1 Zr 2.57
Cl9 0.6944 0.6944 0.2113  1 Zr 2.57
Cl10 0.7887 0.3056 0.3056  1 Zr 2.57
Cl11 0.8710 0.3574 0.8710  1 Zr 2.57
Cl12 0.8710 0.8710 0.3574  1 Zr 2.57

***

[7]
The following is a DFT calculation (PBE) of a geometry-optimized TlRe2Mo structure.

Calculated values
The formation energy is 4.8 eV/f.u. The space group is I-42d. The calculation puts the energy above the most stable polymorph in this dataset at 729 meV per atom.

Unit cell a=5.9890 b=5.9890 c=5.9890 alpha=101.74 beta=101.74 gamma=126.38
Closest atoms and distances in Å follow each position.
Fractional positions:
Tl1 0.0000 0.0000 0.0000  2 Mo 2.70
Tl2 0.7500 0.2500 0.5000  2 Mo 2.70
Re1 0.1804 0.6250 0.0554  2 Mo 2.49
Re2 0.3750 0.4304 0.5554  2 Mo 2.49
Re3 0.5696 0.1250 0.9446  2 Mo 2.49
Re4 0.8750 0.8196 0.4446  2 Mo 2.49
Mo1 0.2500 0.7500 0.5000  4 Re 2.49, 2 Tl 2.70
Mo2 0.5000 0.5000 0.0000  4 Re 2.49, 2 Tl 2.70

***

[8]
The following is a DFT calculation (PBE) of a geometry-optimized ThAlNi structure.

Calculated values
The formation energy is -1.3 eV/f.u. The space group is F-43m.

Unit cell a=4.5236 b=4.5236 c=4.5236 alpha=60.00 beta=60.00 gamma=60.00
Closest atoms and distances in Å follow each position.
Fractional positions:
Th1 0.0000 0.0000 0.0000  4 Ni 2.77
Al1 0.5000 0.5000 0.5000  4 Ni 2.77
Ni1 0.7500 0.7500 0.7500  4 Th 2.77, 4 Al 2.77

***

[9]
The following is a DFT calculation (PBE) of a geometry-optimized HoPaRu4 structure.

Calculated values
The formation energy is 1.9 eV/f.u. The space group is P4/mmm. The calculation puts the energy above the most stable polymorph in this dataset at 616 meV per atom.

Unit cell a=4.2718 b=4.2718 c=6.7136 alpha=90.00 beta=90.00 gamma=90.00
Closest atoms and distances in Å follow each position.
Fractional positions:
Ho1 0.0000 0.0000 0.0000  8 Ru 2.86
Pa1 0.5000 0.5000 0.5000  8 Ru 2.58
Ru1 0.0000 0.5000 0.2843  2 Pa 2.58, 2 Ho 2.86
Ru2 0.0000 0.5000 0.7157  2 Pa 2.58, 2 Ho 2.86
Ru3 0.5000 0.0000 0.2843  2 Pa 2.58, 2 Ho 2.86
Ru4 0.5000 0.0000 0.7157  2 Pa 2.58, 2 Ho 2.86

***

[10]
The following is a DFT calculation (PBE) of a geometry-optimized TaTi2PdC structure.

Calculated values
The formation energy is -2.4 eV/f.u. The space group is P4/mmm.

Unit cell a=4.1604 b=4.1604 c=4.2741 alpha=90.00 beta=90.00 gamma=90.00
Closest atoms and distances in Å follow each position.
Fractional positions:
Ta1 0.0000 0.0000 0.0000  2 C 2.14
Ti1 0.0000 0.5000 0.5000  2 C 2.08
Ti2 0.5000 0.0000 0.5000  2 C 2.08
Pd1 0.5000 0.5000 0.0000  4 Ta 2.94, 8 Ti 2.98
C1 0.0000 0.0000 0.5000  4 Ti 2.08, 2 Ta 2.14

***

[11]
The following is a DFT calculation (PBE) of a geometry-optimized LiCaRh2 structure.

Calculated values
The formation energy is 0.1 eV/f.u. The space group is Cmmm.

Unit cell a=2.8749 b=2.8749 c=8.5617 alpha=90.00 beta=90.00 gamma=112.87
Closest atoms and distances in Å follow each position.
Fractional positions:
Li1 0.0000 0.0000 0.0000  4 Rh 2.57, 4 Li 2.87
Ca1 0.0000 0.0000 0.5000  4 Rh 2.76, 4 Ca 2.87
Rh1 0.5000 0.5000 0.2360  2 Li 2.57, 2 Ca 2.76, 4 Rh 2.87
Rh2 0.5000 0.5000 0.7640  2 Li 2.57, 2 Ca 2.76, 4 Rh 2.87

***

[12]
The following is a DFT calculation (PBE) of a geometry-optimized Ba2AlBr structure.

Calculated values
The formation energy (no corrections) is -2.32 eV per formula unit. The space group is I-42d. The calculation puts the energy above the most stable polymorph in this dataset at 275 meV per atom.

Unit cell a=7.8268 b=7.8268 c=7.8268 alpha=111.74 beta=111.74 gamma=105.03
Closest atoms and distances in Å follow each position.
Fractional positions:
Ba1 0.1152 0.6250 0.9902  2 Br 3.27, 2 Al 3.38
Ba2 0.3750 0.3652 0.4902  2 Br 3.27, 2 Al 3.38
Ba3 0.6348 0.1250 0.0098  2 Br 3.27, 2 Al 3.38
Ba4 0.8750 0.8848 0.5098  2 Br 3.27, 2 Al 3.38
Al1 0.2500 0.7500 0.5000  4 Ba 3.38
Al2 0.5000 0.5000 0.0000  4 Ba 3.38
Br1 0.0000 0.0000 0.0000  4 Ba 3.27
Br2 0.7500 0.2500 0.5000  4 Ba 3.27

***

[13]
The following is a DFT calculation (PBE) of a geometry-optimized Tm2PRh3 structure.

Calculated values
The formation energy is -5.9 eV/f.u. The space group is R-3m.

Unit cell a=4.9823 b=4.9823 c=4.9823 alpha=67.16 beta=67.16 gamma=67.16
Closest atoms and distances in Å follow each position.
Fractional positions:
Tm1 0.1286 0.1286 0.1286  9 Rh 2.84-3.13, 1 Tm 2.96
Tm2 0.8714 0.8714 0.8714  9 Rh 2.84-3.13, 1 Tm 2.96
P1 0.5000 0.5000 0.5000  6 Rh 2.49
Rh1 0.0000 0.5000 0.5000  2 P 2.49, 4 Rh 2.76
Rh2 0.5000 0.0000 0.5000  2 P 2.49, 4 Rh 2.76
Rh3 0.5000 0.5000 0.0000  2 P 2.49, 4 Rh 2.76